(1)
Rb3Ac3HoO8 after structural relaxation, computed with PBE-GGA.

Results
Its uncorrected formation energy is -2565 meV per atom.

Cell: 7.5590 7.5583 7.9842 Å, 118.26 90.00 120.01°
Fractional positions:
O 0.7889 0.5779 0.3303
O 0.7891 0.0415 0.3304
O 0.7287 0.4574 0.6861
O 0.2713 0.5426 0.3139
O 0.2111 0.4221 0.6697
O 0.2523 0.0414 0.3304
O 0.7477 0.9586 0.6696
O 0.2109 0.9585 0.6696
Ac 0.5000 0.5000 0.5000
Ac 0.0000 0.5000 0.5000
Ac 0.5000 0.0000 0.5000
Rb 0.5000 0.5000 0.0000
Rb 0.0000 0.0000 0.0000
Rb 0.0000 0.5000 0.0000
Ho 0.0000 0.0000 0.5000



(2)
BaAsOs2 after structural relaxation, computed with PBE-GGA.

Results
The energy relative to the elements comes out at 0.82 eV/atom.

Cell: 3.1229 3.1229 8.0871 Å, 90.00 90.00 89.99°
Fractional positions:
Os 0.0000 0.0000 0.0781
Os 0.0000 0.0000 0.4219
As 0.5000 0.5000 0.2500
Ba 0.5000 0.5000 0.7500



(3)
ZnCr2Rh after structural relaxation, computed with PBE-GGA.

Results
The energy relative to the elements comes out at 0.20 eV/atom.

Cell: 4.3636 4.3636 2.9444 Å, 90.00 90.00 90.00°
Fractional positions:
Zn 0.0000 0.5000 0.5000
Rh 0.5000 0.0000 0.5000
Cr 0.0000 0.0000 0.0000
Cr 0.5000 0.5000 0.0000



(4)
Tl2GaRu after structural relaxation, computed with PBE-GGA.

Results
The energy relative to the elements comes out at 0.17 eV/atom.

Cell: 10.4248 10.4248 7.7524 Å, 47.75 47.75 90.00°
Fractional positions:
Ga 0.5000 0.5000 0.0000
Ga 0.2500 0.7500 0.5000
Tl 0.8750 0.1244 0.7500
Tl 0.8756 0.6250 0.2500
Tl 0.8744 0.1250 0.2500
Tl 0.3750 0.1256 0.7500
Ru 0.0000 0.0000 0.0000
Ru 0.7500 0.2500 0.5000